# 1
Material: PuBi2F8
Method: DFT, GGA-PBE
State: relaxed

Cell lengths 3.931, 5.574, 7.997 Å; angles 106.19, 104.23, 90.00 degrees
Site moments in Bohr magnetons follow the coordinates.
Sites, in units of the cell vectors:
1 Bi 0.828 0.325 0.656  0.04
2 Bi 0.172 0.675 0.344  0.04
3 F 0.969 0.209 0.938  -0.01
4 F 0.401 0.570 0.801  0.00
5 F 0.349 0.062 0.698  -0.01
6 F 0.599 0.430 0.199  0.00
7 F 0.031 0.791 0.062  -0.01
8 F 0.225 0.322 0.450  0.00
9 F 0.651 0.938 0.302  -0.01
10 F 0.775 0.678 0.550  0.00
11 Pu 0.500 0.000 0.000  5.20

Output
**Space-group type**: C2/m
**Calculated density**: 8.3 g/cm³
**DFT total energy**: -6.03 eV/atom
**Fermi-level density of states**: 11.3 states/eV per cell
**Total magnetic moment**: 5.33 μB per formula unit

# 2
Material: Pu2BiF3
Method: DFT, GGA-PBE
State: relaxed

Cell lengths 3.963, 7.918, 8.463 Å; angles 111.85, 90.00, 104.49 degrees
Site moments in Bohr magnetons follow the coordinates.
Sites, in units of the cell vectors:
1 F 0.599 0.198 0.660  -0.01
2 F 0.056 0.112 0.400  0.01
3 F 0.401 0.802 0.340  -0.01
4 F 0.312 0.625 0.549  -0.01
5 F 0.688 0.375 0.451  -0.01
6 F 0.944 0.888 0.600  0.01
7 Bi 0.857 0.715 0.959  0.01
8 Bi 0.143 0.285 0.041  0.01
9 Pu 0.804 0.609 0.324  5.33
10 Pu 0.525 0.051 0.232  -5.31
11 Pu 0.475 0.949 0.768  -5.31
12 Pu 0.196 0.391 0.676  5.33

Output
**Space-group type**: C2/m
**Calculated density**: 10.5 g/cm³
**DFT total energy**: -8.86 eV/atom
**Fermi-level density of states**: 46.5 states/eV per cell
**Total magnetic moment**: 0.02 μB per formula unit

# 3
Material: PuBi2F11
Method: DFT, GGA-PBE
State: relaxed

Cell lengths 8.376, 8.721, 8.721 Å; angles 74.62, 61.30, 61.30 degrees
Site moments in Bohr magnetons follow the coordinates.
Sites, in units of the cell vectors:
1 F 0.246 0.519 0.180  -0.03
2 F 0.000 0.000 0.000  -0.03
3 F 0.660 0.703 0.574  -0.03
4 F 0.746 0.680 0.019  -0.03
5 F 0.340 0.297 0.426  -0.03
6 F 0.062 0.574 0.703  -0.03
7 F 0.160 0.074 0.203  -0.03
8 F 0.840 0.926 0.797  -0.03
9 F 0.754 0.481 0.820  -0.03
10 F 0.562 0.203 0.074  -0.03
11 F 0.438 0.797 0.926  -0.03
12 F 0.500 0.500 0.500  -0.03
13 F 0.373 0.720 0.280  -0.02
14 F 0.127 0.220 0.780  -0.02
15 F 0.254 0.320 0.981  -0.03
16 F 0.944 0.820 0.481  -0.03
17 F 0.627 0.280 0.720  -0.02
18 F 0.938 0.426 0.297  -0.03
19 F 0.444 0.981 0.320  -0.03
20 F 0.556 0.019 0.680  -0.03
21 F 0.873 0.780 0.220  -0.02
22 F 0.056 0.180 0.519  -0.03
23 Pu 0.750 0.750 0.750  3.38
24 Pu 0.250 0.250 0.250  3.38
25 Bi 0.361 0.317 0.683  -0.02
26 Bi 0.139 0.817 0.183  -0.02
27 Bi 0.639 0.683 0.317  -0.02
28 Bi 0.861 0.183 0.817  -0.02

Output
**Space-group type**: Ibam
**Calculated density**: 5.9 g/cm³
**DFT total energy**: -5.72 eV/atom
**Fermi-level density of states**: 10.0 states/eV per cell
**Total magnetic moment**: 3.05 μB per formula unit

# 4
Material: Pu2BiF11
Method: DFT, GGA-PBE
State: relaxed

Cell lengths 8.455, 8.722, 8.722 Å; angles 72.73, 61.01, 61.01 degrees
Site moments in Bohr magnetons follow the coordinates.
Sites, in units of the cell vectors:
1 F 0.771 0.458 0.823  -0.02
2 F 0.913 0.432 0.297  -0.02
3 F 0.448 0.958 0.323  -0.02
4 F 0.642 0.703 0.568  -0.02
5 F 0.142 0.068 0.203  -0.02
6 F 0.868 0.786 0.214  -0.03
7 F 0.358 0.297 0.432  -0.02
8 F 0.632 0.286 0.714  -0.03
9 F 0.000 0.000 0.000  -0.03
10 F 0.413 0.797 0.932  -0.02
11 F 0.271 0.323 0.958  -0.02
12 F 0.087 0.568 0.703  -0.02
13 F 0.229 0.542 0.177  -0.02
14 F 0.500 0.500 0.500  -0.03
15 F 0.587 0.203 0.068  -0.02
16 F 0.729 0.677 0.042  -0.02
17 F 0.368 0.714 0.286  -0.03
18 F 0.948 0.823 0.458  -0.02
19 F 0.552 0.042 0.677  -0.02
20 F 0.052 0.177 0.542  -0.02
21 F 0.132 0.214 0.786  -0.03
22 F 0.858 0.932 0.797  -0.02
23 Pu 0.153 0.820 0.180  4.10
24 Pu 0.847 0.180 0.820  4.10
25 Pu 0.653 0.680 0.320  4.10
26 Pu 0.347 0.320 0.680  4.10
27 Bi 0.250 0.250 0.250  -0.01
28 Bi 0.750 0.750 0.750  -0.01

Output
**Space-group type**: Ibam
**Calculated density**: 6.1 g/cm³
**DFT total energy**: -6.94 eV/atom
**Fermi-level density of states**: 36.7 states/eV per cell
**Total magnetic moment**: 8.00 μB per formula unit

# 5
Material: RbBi2F
Method: DFT, GGA-PBE
State: relaxed

Cell lengths 5.505, 5.505, 5.505 Å; angles 60.00, 60.00, 60.00 degrees
Sites, in units of the cell vectors:
1 F 0.000 0.000 0.000
2 Rb 0.500 0.500 0.500
3 Bi 0.250 0.250 0.250
4 Bi 0.750 0.750 0.750

Output
**Space-group type**: Fm-3m
**Calculated density**: 7.4 g/cm³
**ΔE to the lowest computed polymorph**: 46.14 kJ/mol of atoms
**DFT total energy**: -2.79 eV/atom
**Fermi-level density of states**: 1.6 states/eV per cell
**Total magnetic moment**: 0.00 μB per formula unit

# 6
Material: RbBiF4
Method: DFT, GGA-PBE
State: relaxed

Cell lengths 8.525, 8.525, 8.525 Å; angles 60.00, 60.00, 60.00 degrees
Site moments in Bohr magnetons follow the coordinates.
Sites, in units of the cell vectors:
1 Bi 0.625 0.125 0.125  0.00
2 Bi 0.125 0.125 0.125  0.00
3 Bi 0.125 0.125 0.625  0.00
4 Bi 0.125 0.625 0.125  0.00
5 F 0.037 0.463 0.463  0.00
6 F 0.037 0.463 0.037  0.00
7 F 0.787 0.213 0.787  0.00
8 F 0.787 0.213 0.213  0.00
9 F 0.500 0.500 0.500  0.07
10 F 0.787 0.787 0.213  0.00
11 F 0.463 0.037 0.463  0.00
12 F 0.000 0.000 0.000  0.00
13 F 0.213 0.787 0.213  0.00
14 F 0.750 0.750 0.750  0.07
15 F 0.037 0.037 0.463  0.00
16 F 0.463 0.037 0.037  0.00
17 F 0.250 0.250 0.250  0.00
18 F 0.463 0.463 0.037  0.00
19 F 0.213 0.787 0.787  0.00
20 F 0.213 0.213 0.787  0.00
21 Rb 0.625 0.625 0.625  0.00
22 Rb 0.625 0.125 0.625  0.00
23 Rb 0.625 0.625 0.125  0.00
24 Rb 0.125 0.625 0.625  0.00

Output
**Space-group type**: Fd-3m
**Calculated density**: 5.6 g/cm³
**DFT total energy**: -4.59 eV/atom
**Fermi-level density of states**: 0.0 states/eV per cell
**Total magnetic moment**: 0.04 μB per formula unit

# 7
Material: RbBi3F
Method: DFT, GGA-PBE
State: relaxed

Cell lengths 5.299, 5.299, 5.299 Å; angles 90.00, 90.00, 90.00 degrees
Sites, in units of the cell vectors:
1 Bi 0.500 0.000 0.000
2 Bi 0.000 0.000 0.500
3 Bi 0.000 0.500 0.000
4 Rb 0.500 0.500 0.500
5 F 0.000 0.000 0.000

Output
**Space-group type**: Pm-3m
**Calculated density**: 8.2 g/cm³
**ΔE to the lowest computed polymorph**: 0.00 kJ/mol of atoms
**DFT total energy**: -3.32 eV/atom
**Fermi-level density of states**: 3.1 states/eV per cell
**Total magnetic moment**: 0.00 μB per formula unit

# 8
Material: Rb2Bi3F11
Method: DFT, GGA-PBE
State: relaxed

Cell lengths 4.308, 4.313, 18.087 Å; angles 94.42, 100.83, 115.78 degrees
Site moments in Bohr magnetons follow the coordinates.
Sites, in units of the cell vectors:
1 F 0.979 0.157 0.472  0.00
2 F 0.240 0.227 0.139  0.00
3 F 0.405 0.587 0.754  0.00
4 F 0.537 0.842 0.905  0.00
5 F 0.108 0.691 0.305  0.10
6 F 0.835 0.487 0.000  0.00
7 F 0.514 0.029 0.611  0.00
8 F 0.058 0.925 0.706  0.00
9 F 0.105 0.093 0.857  0.00
10 F 0.552 0.878 0.055  0.00
11 F 0.798 0.638 0.556  0.00
12 Bi 0.527 0.111 0.805  0.00
13 Bi 0.068 0.203 0.596  0.00
14 Bi 0.038 0.070 0.015  0.00
15 Rb 0.539 0.434 0.392  0.00
16 Rb 0.675 0.946 0.219  0.00

Output
**Space-group type**: P1
**Calculated density**: 5.7 g/cm³
**DFT total energy**: -4.63 eV/atom
**Fermi-level density of states**: 0.0 states/eV per cell
**Total magnetic moment**: 0.12 μB per formula unit

# 9
Material: Rb2BiF5
Method: DFT, GGA-PBE
State: relaxed

Cell lengths 6.994, 7.748, 11.544 Å; angles 90.00, 90.00, 90.00 degrees
Sites, in units of the cell vectors:
1 Rb 0.539 0.003 0.170
2 Rb 0.961 0.003 0.670
3 Rb 0.961 0.497 0.670
4 Rb 0.039 0.503 0.330
5 Rb 0.461 0.997 0.830
6 Rb 0.461 0.503 0.830
7 Rb 0.539 0.497 0.170
8 Rb 0.039 0.997 0.330
9 F 0.126 0.750 0.830
10 F 0.151 0.250 0.814
11 F 0.349 0.250 0.314
12 F 0.626 0.250 0.670
13 F 0.649 0.036 0.429
14 F 0.374 0.750 0.330
15 F 0.874 0.250 0.170
16 F 0.886 0.750 0.485
17 F 0.649 0.464 0.429
18 F 0.351 0.536 0.571
19 F 0.114 0.250 0.515
20 F 0.386 0.250 0.015
21 F 0.149 0.536 0.071
22 F 0.851 0.464 0.929
23 F 0.351 0.964 0.571
24 F 0.651 0.750 0.686
25 F 0.614 0.750 0.985
26 F 0.851 0.036 0.929
27 F 0.849 0.750 0.186
28 F 0.149 0.964 0.071
29 Bi 0.559 0.750 0.497
30 Bi 0.441 0.250 0.503
31 Bi 0.941 0.750 0.997
32 Bi 0.059 0.250 0.003

Output
**Space-group type**: Pnma
**Calculated density**: 5.0 g/cm³
**ΔE to the lowest computed polymorph**: 0.00 kJ/mol of atoms
**DFT total energy**: -4.56 eV/atom
**Fermi-level density of states**: 0.0 states/eV per cell
**Total magnetic moment**: 0.00 μB per formula unit

# 10
Material: RbBiF3
Method: DFT, GGA-PBE
State: relaxed

Cell lengths 6.154, 4.857, 8.515 Å; angles 103.90, 101.83, 93.40 degrees
Sites, in units of the cell vectors:
1 Bi 0.629 0.479 0.730
2 Bi 0.872 0.020 0.020
3 F 0.098 0.766 0.161
4 F 0.930 0.230 0.795
5 F 0.571 0.269 0.955
6 F 0.825 0.528 0.548
7 F 0.404 0.734 0.589
8 F 0.676 0.971 0.202
9 Rb 0.460 0.494 0.253
10 Rb 0.041 0.005 0.497

Output
**Space-group type**: P-1
**Calculated density**: 4.9 g/cm³
**ΔE to the lowest computed polymorph**: 0.00 kJ/mol of atoms
**DFT total energy**: -4.41 eV/atom
**Fermi-level density of states**: 0.0 states/eV per cell
**Total magnetic moment**: 0.00 μB per formula unit

# 11
Material: RbBi3F
Method: DFT, GGA-PBE
State: relaxed

Cell lengths 6.276, 6.276, 6.276 Å; angles 90.00, 90.00, 90.00 degrees
Sites, in units of the cell vectors:
1 Bi 0.000 0.000 0.500
2 Bi 0.000 0.500 0.000
3 Bi 0.500 0.000 0.000
4 Rb 0.000 0.000 0.000
5 F 0.500 0.500 0.500

Output
**Space-group type**: Pm-3m
**Calculated density**: 4.9 g/cm³
**ΔE to the lowest computed polymorph**: 144.76 kJ/mol of atoms
**DFT total energy**: -1.82 eV/atom
**Fermi-level density of states**: 10.7 states/eV per cell
**Total magnetic moment**: 0.08 μB per formula unit

# 12
Material: RbBiF4
Method: DFT, GGA-PBE
State: relaxed

Cell lengths 6.614, 8.649, 8.787 Å; angles 90.00, 90.00, 90.00 degrees
Sites, in units of the cell vectors:
1 F 0.869 0.750 0.500
2 F 0.306 0.578 0.929
3 F 0.106 0.528 0.250
4 F 0.131 0.250 0.000
5 F 0.694 0.422 0.429
6 F 0.694 0.422 0.071
7 F 0.306 0.922 0.429
8 F 0.306 0.578 0.571
9 F 0.894 0.472 0.750
10 F 0.694 0.078 0.929
11 F 0.869 0.750 0.000
12 F 0.894 0.028 0.250
13 F 0.106 0.972 0.750
14 F 0.306 0.922 0.071
15 F 0.131 0.250 0.500
16 F 0.694 0.078 0.571
17 Bi 0.000 0.000 0.500
18 Bi 0.000 0.000 0.000
19 Bi 0.000 0.500 0.500
20 Bi 0.000 0.500 0.000
21 Rb 0.497 0.682 0.250
22 Rb 0.503 0.182 0.250
23 Rb 0.497 0.818 0.750
24 Rb 0.503 0.318 0.750

Output
**Space-group type**: Pbcm
**Calculated density**: 4.9 g/cm³
**DFT total energy**: -4.63 eV/atom
**Fermi-level density of states**: 0.0 states/eV per cell
**Total magnetic moment**: 0.00 μB per formula unit